[1]
VASP calculation (GGA-PBE) on an optimized crystal structure of Co2NiRhSe6.

Output
- total magnetization (μB/atom) = 0.000
- VASP energy (eV per atom) = -5.09
- raw formation energy (eV/f.u.) = -2.620

The structure in CIF format:
```
data_Co2NiRhSe6
_space_group_name_H-M_alt 'C 1 2/c 1'
_space_group_IT_number 15
_cell_length_a 10.434
_cell_length_b 11.779
_cell_length_c 6.227
_cell_angle_alpha 90.00
_cell_angle_beta 110.22
_cell_angle_gamma 90.00
loop_
_space_group_symop_operation_xyz
'x,y,z'
'-x,-y,-z'
'-x,y,-z+1/2'
'x,-y,z+1/2'
'x+1/2,y+1/2,z'
'-x+1/2,-y+1/2,-z'
'-x+1/2,y+1/2,-z+1/2'
'x+1/2,-y+1/2,z+1/2'
loop_
_atom_site_label
_atom_site_type_symbol
_atom_site_fract_x
_atom_site_fract_y
_atom_site_fract_z
_atom_site_occupancy
Co1 Co 0.123 0.088 0.227 1
Ni1 Ni 0.000 0.266 0.750 1
Rh1 Rh 0.000 0.415 0.250 1
Se1 Se 0.096 0.100 0.578 1
Se2 Se 0.136 0.421 0.668 1
Se3 Se 0.143 0.278 0.142 1
```



[2]
VASP calculation (GGA-PBE) on an optimized crystal structure of Na2LaTlI6.

Output
- total magnetization (μB/atom) = 0.000
- VASP energy (eV per atom) = -3.16
- raw formation energy (eV/f.u.) = -12.343

The structure in CIF format:
```
data_Na2LaTlI6
_space_group_name_H-M_alt 'R 3'
_space_group_IT_number 146
_space_group_name_Hall 'R 3'
_cell_length_a 8.2479
_cell_length_b 8.2479
_cell_length_c 22.6823
_cell_angle_alpha 90.00
_cell_angle_beta 90.00
_cell_angle_gamma 120.00
loop_
_atom_site_label
_atom_site_type_symbol
_atom_site_fract_x
_atom_site_fract_y
_atom_site_fract_z
_atom_site_occupancy
Na1 Na 0.0000 0.0000 0.0000 1
Na2 Na 0.0000 0.0000 0.4898 1
La1 La 0.0000 0.0000 0.6789 1
Tl1 Tl 0.0000 0.0000 0.1904 1
I1 I 0.0101 0.3366 0.7510 1
I2 I 0.0181 0.6296 0.2557 1
```



Q: What is the formula in the first record?
A: Co2NiRhSe6